# 1
A relaxed structure of PaBeOsO6, computed with PBE-GGA.

The structure in POSCAR format:
```
PaBeOsO6
1.0
4.8028 0.0000 0.0000
0.0000 4.9677 0.0000
0.0000 -2.4838 4.3021
O Pa Be Os
6 1 1 1
Cartesian
1.3408 0.8299 1.3178
1.3408 3.4115 0.0598
3.4620 1.5562 0.0598
3.4620 4.1378 1.3178
1.3408 3.2102 2.9245
3.4620 1.7575 2.9245
0.0000 0.0000 2.8681
2.4014 0.0000 0.0000
2.4014 2.4838 1.4340
```

***

# 2
A relaxed structure of Be2OsPbO8, computed with PBE-GGA.

Results
DOS at the Fermi energy = 0.224 states/eV per atom

The structure in POSCAR format:
```
Be2OsPbO8
1.0
4.9338 0.0000 0.0000
-2.4669 4.2728 0.0000
0.0000 0.0000 6.9314
Pb O Be Os
1 8 2 1
Cartesian
0.0000 0.0000 0.0000
2.4669 1.4243 0.1989
3.4763 0.2965 2.3556
-1.0095 3.9763 4.5758
-0.4720 1.4104 4.5758
0.9855 1.1139 2.3556
1.4814 3.1588 4.5758
0.0000 2.8485 6.7325
2.9389 2.8624 2.3556
0.0000 2.8485 5.0947
2.4669 1.4243 1.8367
0.0000 0.0000 3.4657
```

***

# 3
A relaxed structure of PmBe2OsO8, computed with PBE-GGA.

Results
DOS at the Fermi energy = 0.147 states/eV per atom

The structure in POSCAR format:
```
PmBe2OsO8
1.0
5.0904 0.0000 0.0000
-2.5452 4.4084 0.0000
0.0000 0.0000 6.4510
O Be Pm Os
8 2 1 1
Cartesian
1.2612 0.7282 1.1424
3.8291 0.7282 1.1424
2.5452 2.9521 1.1424
1.2840 3.6802 5.3086
0.0000 1.4563 5.3086
-1.2840 3.6802 5.3086
2.5452 1.4695 3.3256
0.0000 2.9389 3.1254
2.5452 1.4695 1.7443
0.0000 2.9389 4.7067
0.0000 0.0000 3.2255
0.0000 0.0000 0.0000
```

***

# 4
A relaxed structure of RbBeOsO6, computed with PBE-GGA.

The structure in POSCAR format:
```
RbBeOsO6
1.0
-1.1612 -0.7338 5.0455
-4.8303 -0.9156 1.7511
0.9769 -6.1892 -0.4163
Os O Rb Be
1 6 1 1
Cartesian
-1.4656 -3.4862 2.0383
-1.7347 -4.8104 3.4637
-3.1365 -3.0249 2.7318
-2.0083 -5.1647 1.2645
-4.5351 -5.0522 3.6897
-2.8976 -3.5831 5.3988
-0.7632 -1.9998 2.7116
0.6650 -6.2336 -0.0973
-3.2056 -4.1876 3.9026
```

***

# 5
A relaxed structure of BeReOsO2, computed with PBE-GGA.

Results
DOS at the Fermi energy = 1.043 states/eV per atom

The structure in POSCAR format:
```
BeReOsO2
1.0
3.4920 0.0000 0.0000
0.0000 4.8423 0.0000
0.0000 0.0000 3.4920
O Re Be Os
2 1 1 1
Cartesian
0.0000 0.0000 1.7460
1.7460 0.0000 0.0000
1.7460 2.4211 1.7460
0.0000 0.0000 0.0000
0.0000 2.4211 0.0000
```

***

# 6
A relaxed structure of BeOsS2O, computed with PBE-GGA.

Results
DOS at the Fermi energy = 0.633 states/eV per atom

The structure in POSCAR format:
```
BeOsS2O
1.0
4.5960 0.0000 0.0000
0.0000 2.9592 0.0000
0.0000 0.0000 4.5960
O S Os Be
1 2 1 1
Cartesian
0.0000 0.0000 0.0000
0.0000 0.0000 2.2980
2.2980 0.0000 0.0000
2.2980 1.4796 2.2980
0.0000 1.4796 0.0000
```

***

# 7
A relaxed structure of BeSnOsO6, computed with PBE-GGA.

Results
DOS at the Fermi energy = 0.500 states/eV per atom

The structure in POSCAR format:
```
BeSnOsO6
1.0
-3.8785 -2.7576 1.1651
4.2729 -2.1256 -1.1083
2.3929 0.2941 8.6614
O Sn Os Be
12 2 2 2
Cartesian
3.0162 -0.6130 5.1184
1.8238 -2.9597 5.5274
-0.2289 -3.9761 3.5998
0.9635 -1.6294 3.1908
4.3895 -2.8754 4.8158
-2.0172 -3.4264 1.9382
4.8045 -1.1627 6.7800
0.5301 -3.1143 1.2239
2.2572 -1.4748 7.4943
-1.0242 -0.9805 1.5808
3.8115 -3.6086 7.1374
-1.6022 -1.7137 3.9024
1.1964 0.1470 4.3307
0.0000 0.0000 0.0000
2.1540 -2.2628 1.8148
0.6333 -2.3264 6.9034
-0.5631 -2.4734 2.5727
3.3504 -2.1157 6.1455
```

***

# 8
A relaxed structure of SrBeOsO6, computed with PBE-GGA.

The structure in POSCAR format:
```
SrBeOsO6
1.0
-0.5246 4.3697 -2.2658
-4.0247 0.9013 -2.7377
-2.5455 1.9717 4.3919
O Sr Os Be
6 1 1 1
Cartesian
-4.7666 6.2802 -0.9031
-5.1193 4.1960 -2.7783
-2.8603 5.3124 -1.9698
-3.4634 2.8492 -1.2137
-5.9814 3.9541 -0.5631
-3.6427 4.4063 0.5899
-2.5455 1.9717 4.3918
-2.7892 2.7428 0.5281
-4.3057 4.4999 -1.1398
```

***

no.,ΔE_f (raw) (eV/atom),total energy (eV per cell)
1,-2.18,-73.820
2,-1.15,-75.890
3,-1.67,-83.183
4,-1.25,-56.947
5,0.59,-34.370
6,0.27,-26.812
7,-1.37,-122.107
8,-1.67,-61.396